# Sm2Mn2O5

An optimized crystal structure of Sm2Mn2O5 (GGA+U, the Alexandria database).

Output
**Calculated volume**: 14.28 Å³ per atom
**E_tot**: -7.97 eV/atom
**DOS(E_F)**: 0.74 states/eV/cell
**Total magnetization**: 10.00 μB per formula unit
**Relative energy among the computed polymorphs**: 0 meV/atom

Unit cell a=15.391 b=5.838 c=5.721 alpha=90.00 beta=90.00 gamma=90.00
Space group Ima2 (No. 46)
Inequivalent atoms, fractional coordinates:
Sm (0.115, 0.010, 0.000) x8
Mn (0.000, 0.000, 0.479) x4
Mn (0.250, 0.535, 0.015) x4
O (0.036, 0.735, 0.241) x8
O (0.142, 0.121, 0.389) x8
O (0.250, 0.619, 0.385) x4